FeP2SO after structural relaxation. Source: Alexandria, functional PBE+U.

a = 4.6791 Å, b = 4.6791 Å, c = 3.3939 Å
α = 90.00°, β = 90.00°, γ = 90.00°
Closest atoms and distances in Å follow each position.
Space group P4/mmm (No. 123)
Unique sites:
Fe (0.0000, 0.0000, 0.0000)  8 P 2.89
P (0.0000, 0.5000, 0.5000)  2 S 2.34
S (0.5000, 0.5000, 0.5000)  2 O 1.70
O (0.5000, 0.5000, 0.0000)  2 S 1.70

Output
The excess energy over the best structure of this formula in the dataset comes out at 131.3 meV per atom. The total magnetization comes out at 3.5 μB/f.u. The calculation puts the total energy at -22.44 eV per cell.